1.
# CaZnSi2 PBE-GGA optimized geometry
# Raw formation energy in meV per atom: 113
# DOS(E_F) in states/eV per atom: 0.327
# V in Å³/atom: 18.740
# Magnetic moment in μB/cell: 0.00
data_CaZnSi2
_chemical_formula_sum 'Ca2 Zn2 Si4'
_symmetry_space_group_name_H-M 'C m m m'
_symmetry_Int_Tables_number 65
_symmetry_space_group_name_Hall '-C 2 2'
_cell_length_a 5.811
_cell_length_b 8.448
_cell_length_c 3.054
_cell_angle_alpha 90.00
_cell_angle_beta 90.00
_cell_angle_gamma 90.00
loop_
_atom_site_label
_atom_site_fract_x
_atom_site_fract_y
_atom_site_fract_z
Ca1 0.000 0.000 0.000
Zn1 0.000 0.500 0.000
Si1 0.250 0.250 0.500


2.
# Li3Ac2Cd12Ag PBE-GGA optimized geometry
# E_form in eV per atom: 0.1053
# DOS(E_F) in states/eV per atom: 0.494
# V in Å³/atom: 29.132
# Magnetic moment in μB/cell: 0.00
data_Li3Ac2Cd12Ag
_chemical_formula_sum 'Li9 Ac6 Cd36 Ag3'
_symmetry_space_group_name_H-M 'R -3 m'
_symmetry_Int_Tables_number 166
_symmetry_space_group_name_Hall '-R 3 2"'
_cell_length_a 9.4750
_cell_length_b 9.4750
_cell_length_c 20.2337
_cell_angle_alpha 90.00
_cell_angle_beta 90.00
_cell_angle_gamma 120.00
loop_
_atom_site_label
_atom_site_fract_x
_atom_site_fract_y
_atom_site_fract_z
Li1 0.0000 0.5000 0.0000
Ac1 0.0000 0.0000 0.0942
Cd1 0.0014 0.5007 0.1404
Cd2 0.0793 0.5396 0.3974
Ag1 0.0000 0.0000 0.5000


3.
# Zn8Cu2Pt PBE-GGA optimized geometry
# E_form in eV per atom: -0.1375
# DOS(E_F) in states/eV per atom: 0.232
# V in Å³/atom: 14.590
# Magnetic moment in μB/cell: 0.00
data_Zn8Cu2Pt
_chemical_formula_sum 'Zn8 Cu2 Pt1'
_symmetry_space_group_name_H-M 'P 1'
_symmetry_Int_Tables_number 1
_cell_length_a 4.151
_cell_length_b 6.378
_cell_length_c 7.132
_cell_angle_alpha 116.54
_cell_angle_beta 106.20
_cell_angle_gamma 90.03
loop_
_symmetry_equiv_pos_as_xyz
'x,y,z'
loop_
_atom_site_label
_atom_site_fract_x
_atom_site_fract_y
_atom_site_fract_z
Zn1 0.000 0.000 0.000
Zn2 0.027 0.510 0.064
Zn3 0.207 0.386 0.411
Zn4 0.335 0.842 0.673
Zn5 0.463 0.650 0.937
Zn6 0.642 0.120 0.282
Zn7 0.669 0.673 0.347
Zn8 0.835 0.135 0.673
Cu1 0.184 0.954 0.371
Cu2 0.484 0.256 0.974
Pt1 0.835 0.556 0.674


4.
# CdFeS2Cl PBE-GGA optimized geometry
# Raw formation energy in meV per atom: -36
# DOS(E_F) in states/eV per atom: 0.592
# V in Å³/atom: 20.245
# Magnetic moment in μB/cell: 3.48
data_CdFeS2Cl
_chemical_formula_sum 'Cd1 Fe1 S2 Cl1'
_symmetry_space_group_name_H-M 'P 4/m m m'
_symmetry_Int_Tables_number 123
_symmetry_space_group_name_Hall '-P 4 2'
_cell_length_a 4.491
_cell_length_b 4.491
_cell_length_c 5.019
_cell_angle_alpha 90.00
_cell_angle_beta 90.00
_cell_angle_gamma 90.00
loop_
_atom_site_label
_atom_site_fract_x
_atom_site_fract_y
_atom_site_fract_z
Cd1 0.000 0.000 0.000
Fe1 0.500 0.500 0.500
S1 0.000 0.500 0.500
Cl1 0.500 0.500 0.000


5.
# LiSi3Br PBE-GGA optimized geometry
# Raw formation energy in meV per atom: 889
# DOS(E_F) in states/eV per atom: 1.182
# V in Å³/atom: 19.737
# Magnetic moment in μB/cell: 0.00
data_LiSi3Br
_chemical_formula_sum 'Li1 Si3 Br1'
_symmetry_space_group_name_H-M 'P m -3 m'
_symmetry_Int_Tables_number 221
_symmetry_space_group_name_Hall '-P 4 2 3'
_cell_length_a 4.621
_cell_length_b 4.621
_cell_length_c 4.621
_cell_angle_alpha 90.00
_cell_angle_beta 90.00
_cell_angle_gamma 90.00
loop_
_atom_site_label
_atom_site_fract_x
_atom_site_fract_y
_atom_site_fract_z
Li1 0.000 0.000 0.000
Si1 0.000 0.000 0.500
Br1 0.500 0.500 0.500


6.
# La5YBi6 PBE-GGA optimized geometry
# E_form in eV per atom: -1.0256
# DOS(E_F) in states/eV per atom: 0.099
# V in Å³/atom: 36.019
# Magnetic moment in μB/cell: 0.00
data_La5YBi6
_chemical_formula_sum 'La10 Y2 Bi12'
_symmetry_space_group_name_H-M 'C 1 2/m 1'
_symmetry_Int_Tables_number 12
_cell_length_a 8.090
_cell_length_b 14.012
_cell_length_c 8.090
_cell_angle_alpha 90.00
_cell_angle_beta 109.51
_cell_angle_gamma 90.00
loop_
_symmetry_equiv_pos_as_xyz
'x,y,z'
'-x,-y,-z'
'-x,y,-z'
'x,-y,z'
'x+1/2,y+1/2,z'
'-x+1/2,-y+1/2,-z'
'-x+1/2,y+1/2,-z'
'x+1/2,-y+1/2,z'
loop_
_atom_site_label
_atom_site_fract_x
_atom_site_fract_y
_atom_site_fract_z
La1 0.000 0.000 0.000
La2 0.000 0.166 0.500
La3 0.000 0.331 0.000
Y1 0.000 0.500 0.500
Bi1 0.244 0.500 0.252
Bi2 0.245 0.336 0.745


7.
# LaCeSe2 PBE-GGA optimized geometry
# Raw formation energy in meV per atom: -1908
# DOS(E_F) in states/eV per atom: 1.732
# V in Å³/atom: 27.373
# Magnetic moment in μB/cell: 2.95
data_LaCeSe2
_chemical_formula_sum 'La3 Ce3 Se6'
_symmetry_space_group_name_H-M 'R -3 m'
_symmetry_Int_Tables_number 166
_symmetry_space_group_name_Hall '-R 3 2"'
_cell_length_a 4.2548
_cell_length_b 4.2548
_cell_length_c 20.9514
_cell_angle_alpha 90.00
_cell_angle_beta 90.00
_cell_angle_gamma 120.00
loop_
_atom_site_label
_atom_site_fract_x
_atom_site_fract_y
_atom_site_fract_z
La1 0.0000 0.0000 0.0000
Ce1 0.0000 0.0000 0.5000
Se1 0.0000 0.0000 0.2477


8.
# HoTlHgPb PBE-GGA optimized geometry
# E_form in eV per atom: -0.2830
# DOS(E_F) in states/eV per atom: 0.350
# V in Å³/atom: 26.383
# Magnetic moment in μB/cell: 0.00
data_HoTlHgPb
_chemical_formula_sum 'Ho1 Tl1 Hg1 Pb1'
_symmetry_space_group_name_H-M 'P m m m'
_symmetry_Int_Tables_number 47
_cell_length_a 4.619
_cell_length_b 4.706
_cell_length_c 4.855
_cell_angle_alpha 90.00
_cell_angle_beta 90.00
_cell_angle_gamma 90.00
loop_
_symmetry_equiv_pos_as_xyz
'x,y,z'
'-x,-y,-z'
'-x,-y,z'
'x,y,-z'
'x,-y,-z'
'-x,y,z'
'-x,y,-z'
'x,-y,z'
loop_
_atom_site_label
_atom_site_fract_x
_atom_site_fract_y
_atom_site_fract_z
Ho1 0.000 0.000 0.000
Tl1 0.500 0.000 0.500
Hg1 0.000 0.500 0.500
Pb1 0.500 0.500 0.000


Question: What is the formula in the third record?
Answer: Zn8Cu2Pt